Compound: YTlSi3
Source: Alexandria
Functional: PBE-GGA
Structure: relaxed

abc: 5.127 5.127 5.127
angles: 90.00 90.00 90.00
Positions (direct):
Y 0.000 0.000 0.000
Tl 0.500 0.500 0.500
Si 0.000 0.500 0.500
Si 0.500 0.000 0.500
Si 0.500 0.500 0.000

Results
Crystal system: cubic
Magnetization in Bohr magnetons per cell: 0.00
ΔE_f (raw) in eV/atom: 1.024
Volume in Å³ per atom: 26.95